# ReSb2As

A relaxed ReSb2As crystal (PBE, the Alexandria database).

Results
formation energy from raw total energies	498	meV per atom
density of states at the Fermi level	1.6	states/eV per cell
space-group type	Pm
total DFT energy (no corrections)	-5.84	eV/atom
V	100.7	Å³/cell

```
ReSb2As
1.0
4.493 0.000 0.000
0.000 3.331 0.036
0.000 -0.096 6.728
Re As Sb
1 1 2
Cartesian
2.247 2.431 4.633 Re
0.000 2.439 3.508 As
0.000 2.430 6.284 Sb
2.247 0.787 2.485 Sb
```